# In4Hg2Bi | Alexandria | PBE | relaxed
data_In4Hg2Bi
_chemical_formula_sum 'In8 Hg4 Bi2'
_symmetry_space_group_name_H-M 'C m m m'
_symmetry_Int_Tables_number 65
_symmetry_space_group_name_Hall '-C 2 2'
_cell_length_a 7.2612
_cell_length_b 11.5297
_cell_length_c 5.0517
_cell_angle_alpha 90.00
_cell_angle_beta 90.00
_cell_angle_gamma 90.00
loop_
_atom_site_label
_atom_site_type_symbol
_atom_site_fract_x
_atom_site_fract_y
_atom_site_fract_z
In1 In 0.2338 0.0000 0.0000
In2 In 0.2500 0.2500 0.5000
Hg1 Hg 0.0000 0.2321 0.0000
Bi1 Bi 0.0000 0.5000 0.5000
# mass density: 8398 kg/m3
# distance to the lowest polymorph of the same formula: 16 meV per atom
# total energy: -2.148 eV per atom
# spin magnetization: 0.00 μB/atom
# ΔE_f: 0.40 eV/f.u.